Entry 1:
YHfTc2Sb | SCAN | PBEsol geometry

Unit cell a=4.810 b=4.810 c=5.220 alpha=90.00 beta=90.00 gamma=90.00
Atoms (fractional coordinates):
1 Y 0.000 0.000 0.000
2 Hf 0.500 0.500 0.000
3 Tc 0.000 0.500 0.500
4 Tc 0.500 0.000 0.500
5 Sb 0.000 0.000 0.500

Values from the calculation:
DOS at the Fermi energy (states/eV per atom): 0.9612
Symmetry: No. 123
V (A^3/atom): 24.151
Formation energy (no corrections) (eV per atom): 1.25



Entry 2:
Hf3SbTe | SCAN | PBEsol geometry

Unit cell a=5.200 b=5.200 c=5.200 alpha=90.00 beta=90.00 gamma=90.00
Atoms (fractional coordinates):
1 Hf 0.000 0.000 0.500
2 Hf 0.000 0.500 0.000
3 Hf 0.500 0.000 0.000
4 Sb 0.000 0.000 0.000
5 Te 0.500 0.500 0.500

Values from the calculation:
DOS at the Fermi energy (states/eV per atom): 1.5182
Symmetry: No. 221
V (A^3/atom): 28.122
Formation energy (no corrections) (eV per atom): 0.99



Entry 3:
HfSb2W | SCAN | PBEsol geometry

Unit cell a=4.787 b=4.787 c=4.787 alpha=60.00 beta=60.00 gamma=60.00
Atoms (fractional coordinates):
1 Hf 0.000 0.000 0.000
2 Sb 0.250 0.250 0.250
3 Sb 0.750 0.750 0.750
4 W 0.500 0.500 0.500

Values from the calculation:
DOS at the Fermi energy (states/eV per atom): 0.3276
Symmetry: No. 225
V (A^3/atom): 19.387
Formation energy (no corrections) (eV per atom): 0.16



Entry 4:
HfSc | SCAN | PBEsol geometry

Unit cell a=3.191 b=3.191 c=5.008 alpha=90.00 beta=90.00 gamma=120.00
Atoms (fractional coordinates):
1 Hf 0.000 0.000 0.000
2 Sc 0.667 0.333 0.500

Values from the calculation:
Energy of formation from the pure elements (eV/f.u.): 0.07
DOS at the Fermi energy (states/eV per atom): 1.1806
Symmetry: No. 187
V (A^3/atom): 22.086



Entry 5:
HfScSe3 | SCAN | PBEsol geometry

Unit cell a=5.057 b=5.057 c=5.057 alpha=90.00 beta=90.00 gamma=90.00
Atoms (fractional coordinates):
1 Hf 0.000 0.000 0.000
2 Sc 0.500 0.500 0.500
3 Se 0.000 0.000 0.500
4 Se 0.000 0.500 0.000
5 Se 0.500 0.000 0.000

Values from the calculation:
DOS at the Fermi energy (states/eV per atom): 0.8833
Symmetry: No. 221
V (A^3/atom): 25.866
Formation energy (no corrections) (eV per atom): -0.82



Entry 6:
HfSc2Se | SCAN | PBEsol geometry

Unit cell a=9.368 b=9.368 c=9.368 alpha=20.69 beta=20.69 gamma=20.69
Atoms (fractional coordinates):
1 Hf 0.000 0.000 0.000
2 Sc 0.103 0.103 0.103
3 Sc 0.897 0.897 0.897
4 Se 0.500 0.500 0.500

Values from the calculation:
DOS at the Fermi energy (states/eV per atom): 0.6811
Symmetry: No. 166
V (A^3/atom): 22.464
Formation energy (no corrections) (eV per atom): -0.38



Entry 7:
HfScSi2 | SCAN | PBEsol geometry

Unit cell a=3.684 b=5.239 c=5.239 alpha=42.32 beta=90.00 gamma=90.00
Atoms (fractional coordinates):
1 Hf 0.000 0.000 0.000
2 Sc 0.500 0.283 0.283
3 Si 0.000 0.722 0.722
4 Si 0.500 0.558 0.558

Values from the calculation:
DOS at the Fermi energy (states/eV per atom): 0.3560
Symmetry: No. 38
V (A^3/atom): 17.021
Formation energy (no corrections) (eV per atom): -0.82
Energy above the most stable polymorph in this dataset (meV/atom): 0.0



Entry 8:
Hf2ScSi2 | SCAN | PBEsol geometry

Unit cell a=6.992 b=6.992 c=3.632 alpha=90.00 beta=90.00 gamma=90.00
Atoms (fractional coordinates):
1 Hf 0.172 0.328 0.000
2 Hf 0.328 0.828 0.000
3 Hf 0.672 0.172 0.000
4 Hf 0.828 0.672 0.000
5 Sc 0.000 0.000 0.500
6 Sc 0.500 0.500 0.500
7 Si 0.124 0.624 0.500
8 Si 0.376 0.124 0.500
9 Si 0.624 0.876 0.500
10 Si 0.876 0.376 0.500

Values from the calculation:
DOS at the Fermi energy (states/eV per atom): 0.9990
Symmetry: No. 127
V (A^3/atom): 17.755
Formation energy (no corrections) (eV per atom): -0.74



Entry 9:
Hf3ScSi | SCAN | PBEsol geometry

Unit cell a=4.900 b=4.900 c=4.900 alpha=90.00 beta=90.00 gamma=90.00
Atoms (fractional coordinates):
1 Hf 0.000 0.000 0.500
2 Hf 0.000 0.500 0.000
3 Hf 0.500 0.000 0.000
4 Sc 0.500 0.500 0.500
5 Si 0.000 0.000 0.000

Values from the calculation:
DOS at the Fermi energy (states/eV per atom): 0.9830
Symmetry: No. 221
V (A^3/atom): 23.525
Formation energy (no corrections) (eV per atom): 0.22



Entry 10:
Hf5Sc5Si6 | SCAN | PBEsol geometry

Unit cell a=5.598 b=7.823 c=7.823 alpha=120.09 beta=90.00 gamma=90.00
Atoms (fractional coordinates):
1 Hf 0.000 0.000 0.000
2 Hf 0.250 0.086 0.418
3 Hf 0.250 0.418 0.086
4 Hf 0.750 0.086 0.418
5 Hf 0.750 0.418 0.086
6 Sc 0.000 0.511 0.754
7 Sc 0.000 0.754 0.511
8 Sc 0.500 0.508 0.508
9 Sc 0.500 0.753 0.997
10 Sc 0.500 0.997 0.753
11 Si 0.000 0.148 0.753
12 Si 0.000 0.356 0.356
13 Si 0.000 0.753 0.148
14 Si 0.500 0.148 0.148
15 Si 0.500 0.356 0.753
16 Si 0.500 0.753 0.356

Values from the calculation:
DOS at the Fermi energy (states/eV per atom): 0.7103
Symmetry: No. 38
V (A^3/atom): 18.528
Formation energy (no corrections) (eV per atom): -0.75



Entry 11:
Hf3ScSi4 | SCAN | PBEsol geometry

Unit cell a=5.232 b=3.707 c=6.934 alpha=90.00 beta=90.26 gamma=90.00
Atoms (fractional coordinates):
1 Hf 0.000 0.000 0.000
2 Hf 0.246 0.500 0.649
3 Hf 0.750 0.000 0.505
4 Sc 0.499 0.500 0.150
5 Si 0.265 0.000 0.367
6 Si 0.485 0.000 0.868
7 Si 0.763 0.500 0.783
8 Si 0.984 0.500 0.284

Values from the calculation:
DOS at the Fermi energy (states/eV per atom): 0.4232
Symmetry: No. 6
V (A^3/atom): 16.811
Formation energy (no corrections) (eV per atom): -0.81



Entry 12:
HfScSi2 | SCAN | PBEsol geometry

Unit cell a=5.814 b=5.814 c=5.814 alpha=104.29 beta=104.29 gamma=120.42
Atoms (fractional coordinates):
1 Hf 0.000 0.000 0.000
2 Hf 0.750 0.250 0.500
3 Sc 0.250 0.750 0.500
4 Sc 0.500 0.500 0.000
5 Si 0.124 0.125 0.499
6 Si 0.375 0.876 0.001
7 Si 0.626 0.625 0.501
8 Si 0.875 0.374 0.999

Values from the calculation:
DOS at the Fermi energy (states/eV per atom): 0.5471
Symmetry: No. 122
V (A^3/atom): 18.386
Formation energy (no corrections) (eV per atom): -0.27
Energy above the most stable polymorph in this dataset (meV/atom): 552.2



Entry 13:
HfScSn2 | SCAN | PBEsol geometry

Unit cell a=4.975 b=4.975 c=4.975 alpha=60.00 beta=60.00 gamma=60.00
Atoms (fractional coordinates):
1 Hf 0.000 0.000 0.000
2 Sc 0.500 0.500 0.500
3 Sn 0.250 0.250 0.250
4 Sn 0.750 0.750 0.750

Values from the calculation:
Energy of formation from the pure elements (eV/f.u.): -1.15
DOS at the Fermi energy (states/eV per atom): 1.4874
Symmetry: No. 225
V (A^3/atom): 21.762



Entry 14:
Sr2HfSc2 | SCAN | PBEsol geometry

Unit cell a=11.278 b=11.278 c=11.278 alpha=160.15 beta=160.15 gamma=28.22
Atoms (fractional coordinates):
1 Sr 0.105 0.105 0.000
2 Sr 0.895 0.895 0.000
3 Hf 0.500 0.500 0.000
4 Sc 0.250 0.750 0.500
5 Sc 0.750 0.250 0.500

Values from the calculation:
Energy of formation from the pure elements (eV/f.u.): 4.15
DOS at the Fermi energy (states/eV per atom): 1.0640
Symmetry: No. 139
V (A^3/atom): 33.078



Entry 15:
Hf2ScTaTl | SCAN | PBEsol geometry

Unit cell a=5.177 b=5.177 c=5.120 alpha=90.00 beta=90.00 gamma=90.00
Atoms (fractional coordinates):
1 Hf 0.000 0.500 0.000
2 Hf 0.500 0.000 0.000
3 Sc 0.000 0.000 0.500
4 Ta 0.500 0.500 0.500
5 Tl 0.500 0.500 0.000

Values from the calculation:
Energy of formation from the pure elements (eV/f.u.): 7.09
DOS at the Fermi energy (states/eV per atom): 1.6119
Symmetry: No. 123
V (A^3/atom): 27.451



Entry 16:
HfZrSc2Ta | SCAN | PBEsol geometry

Unit cell a=4.873 b=4.873 c=4.927 alpha=90.00 beta=90.00 gamma=90.00
Atoms (fractional coordinates):
1 Hf 0.000 0.000 0.000
2 Zr 0.500 0.500 0.500
3 Sc 0.000 0.500 0.500
4 Sc 0.500 0.000 0.500
5 Ta 0.500 0.500 0.000

Values from the calculation:
Energy of formation from the pure elements (eV/f.u.): 6.00
DOS at the Fermi energy (states/eV per atom): 1.3225
Symmetry: No. 123
V (A^3/atom): 23.399



Entry 17:
HfScTi3 | SCAN | PBEsol geometry

Unit cell a=4.590 b=4.590 c=4.590 alpha=90.00 beta=90.00 gamma=90.00
Atoms (fractional coordinates):
1 Hf 0.000 0.000 0.000
2 Sc 0.500 0.500 0.500
3 Ti 0.000 0.500 0.500
4 Ti 0.500 0.000 0.500
5 Ti 0.500 0.500 0.000

Values from the calculation:
Energy of formation from the pure elements (eV/f.u.): 5.52
DOS at the Fermi energy (states/eV per atom): 1.5498
Symmetry: No. 221
V (A^3/atom): 19.345



Entry 18:
HfScTi2Tl | SCAN | PBEsol geometry

Unit cell a=5.012 b=5.012 c=5.111 alpha=90.00 beta=90.00 gamma=90.00
Atoms (fractional coordinates):
1 Hf 0.000 0.000 0.000
2 Sc 0.500 0.500 0.000
3 Ti 0.000 0.500 0.500
4 Ti 0.500 0.000 0.500
5 Tl 0.500 0.500 0.500

Values from the calculation:
Energy of formation from the pure elements (eV/f.u.): 4.97
DOS at the Fermi energy (states/eV per atom): 0.7461
Symmetry: No. 123
V (A^3/atom): 25.676



Entry 19:
HfScTl2 | SCAN | PBEsol geometry

Unit cell a=4.985 b=4.985 c=4.985 alpha=60.00 beta=60.00 gamma=60.00
Atoms (fractional coordinates):
1 Hf 0.000 0.000 0.000
2 Sc 0.500 0.500 0.500
3 Tl 0.250 0.250 0.250
4 Tl 0.750 0.750 0.750

Values from the calculation:
Energy of formation from the pure elements (eV/f.u.): -0.42
DOS at the Fermi energy (states/eV per atom): 0.8564
Symmetry: No. 225
V (A^3/atom): 21.897



Entry 20:
HfSc3Tl | SCAN | PBEsol geometry

Unit cell a=5.231 b=5.231 c=5.231 alpha=90.00 beta=90.00 gamma=90.00
Atoms (fractional coordinates):
1 Hf 0.000 0.000 0.000
2 Sc 0.000 0.500 0.500
3 Sc 0.500 0.000 0.500
4 Sc 0.500 0.500 0.000
5 Tl 0.500 0.500 0.500

Values from the calculation:
Energy of formation from the pure elements (eV/f.u.): 3.36
DOS at the Fermi energy (states/eV per atom): 1.6060
Symmetry: No. 221
V (A^3/atom): 28.626